Computed, not measured: a relaxed La2Sn8Rh crystal at the PBE level of DFT.

Computed properties:
Total magnetic moment ... 0.000 Bohr magnetons per cell
Electronic total energy ... -4.99 eV per atom
Symmetry ... P4/mmm (123)
Formation energy from the elements ... -513 meV/atom
Crystal system ... tetragonal

```
La2Sn8Rh
1.0
4.777 0.000 0.000
0.000 4.777 0.000
0.000 0.000 12.582
La Sn Rh
2 8 1
direct
0.000 0.000 0.190 La
0.000 0.000 0.810 La
0.000 0.500 0.000 Sn
0.000 0.500 0.380 Sn
0.000 0.500 0.620 Sn
0.500 0.000 0.000 Sn
0.500 0.000 0.380 Sn
0.500 0.000 0.620 Sn
0.500 0.500 0.195 Sn
0.500 0.500 0.805 Sn
0.000 0.000 0.500 Rh
```

Computed, not measured: a relaxed Pm5Bi5C crystal at the PBE level of DFT.

Computed properties:
Total magnetic moment ... 0.000 Bohr magnetons per cell
Electronic total energy ... -5.23 eV per atom
Symmetry ... C2/m (12)
Formation energy from the elements ... -463 meV/atom
Crystal system ... monoclinic

```
Pm5Bi5C
1.0
6.655 -3.096 0.000
6.655 3.096 0.000
-4.473 0.000 8.462
Pm Bi C
5 5 1
direct
0.000 0.000 0.000 Pm
0.339 0.339 0.718 Pm
0.357 0.357 0.106 Pm
0.643 0.643 0.894 Pm
0.661 0.661 0.282 Pm
0.109 0.109 0.763 Bi
0.223 0.223 0.335 Bi
0.500 0.500 0.500 Bi
0.777 0.777 0.665 Bi
0.891 0.891 0.237 Bi
0.500 0.500 0.000 C
```